This record from Alexandria via LeMat-Bulk describes a geometry-optimized NaPa3Tl3Te8 structure. The functional is PBE-GGA.

abc: 8.8780 8.8780 24.6156
angles: 90.00 90.00 120.00
Space group R-3m (No. 166, hexagonal axes)
One atom of each set of equivalent atoms:
Na 0.0000 0.0000 0.0000 (multiplicity 3)
Pa 0.0000 0.5000 0.0000 (multiplicity 9)
Tl 0.0000 0.5000 0.5000 (multiplicity 9)
Te 0.0000 0.0000 0.2607 (multiplicity 6)
Te 0.0185 0.5092 0.2616 (multiplicity 18)

Summary:
Final energy = -4.814 eV/atom
E_form (uncorrected) = -10.2 eV/f.u.
Fermi-level density of states = 44.42 states/eV/cell
Volume = 37.339 Å³/atom